(1)
! PBE-GGA BaTiP2Se, optimized geometry; values from VASP
&SYSTEM
  ibrav = 0, nat = 5, ntyp = 4
/
ATOMIC_SPECIES
Ba 137.33 Ba.upf
Ti 47.87 Ti.upf
P 30.97 P.upf
Se 78.96 Se.upf
CELL_PARAMETERS angstrom
5.475 0.000 0.000
0.000 5.475 0.000
0.000 0.000 5.810
ATOMIC_POSITIONS angstrom
Ba 0.000 0.000 0.000
Ti 2.738 2.738 2.905
P 0.000 2.738 0.000
P 2.738 0.000 0.000
Se 0.000 0.000 2.905
! ΔE_f (raw): 1378 meV/atom
! SG: No. 123
! total energy: -3.446 eV per atom
! total magnetization: 0.160 μB per cell

(2)
! PBE-GGA BaTl2P2Se7, optimized geometry; values from VASP
&SYSTEM
  ibrav = 0, nat = 12, ntyp = 4
/
ATOMIC_SPECIES
Ba 137.33 Ba.upf
Tl 204.38 Tl.upf
P 30.97 P.upf
Se 78.96 Se.upf
CELL_PARAMETERS angstrom
3.322 1.918 10.089
-3.322 1.918 10.089
0.000 -3.836 10.089
ATOMIC_POSITIONS angstrom
Ba 0.000 0.000 0.000
Tl 0.000 0.000 5.495
Tl 0.000 0.000 24.772
P 0.000 0.000 12.674
P 0.000 0.000 17.593
Se -1.421 -1.606 12.158
Se -0.680 -2.034 18.109
Se -0.680 2.034 12.158
Se 0.000 0.000 15.134
Se -1.421 1.606 18.109
Se 2.102 -0.428 12.158
Se 2.102 0.428 18.109
! ΔE_f (raw): -446 meV/atom
! SG: No. 155
! total energy: -3.935 eV per atom
! total magnetization: 0.000 μB per cell

(3)
! PBE-GGA BaUP2Se8, optimized geometry; values from VASP
&SYSTEM
  ibrav = 0, nat = 12, ntyp = 4
/
ATOMIC_SPECIES
Ba 137.33 Ba.upf
U 238.03 U.upf
P 30.97 P.upf
Se 78.96 Se.upf
CELL_PARAMETERS angstrom
6.440 0.000 0.000
-3.220 5.577 0.000
0.000 0.000 9.529
ATOMIC_POSITIONS angstrom
Ba 0.000 0.000 0.000
U 0.000 0.000 4.765
P 0.000 3.718 7.204
P 3.220 1.859 2.325
Se -2.052 3.693 2.999
Se 0.000 3.718 9.371
Se 1.048 1.954 2.999
Se 2.216 0.070 6.530
Se 1.004 5.508 2.999
Se 2.172 3.624 6.530
Se 3.220 1.859 0.158
Se 5.272 1.884 6.530
! ΔE_f (raw): -610 meV/atom
! SG: No. 147
! total energy: -4.935 eV per atom
! total magnetization: 2.003 μB per cell

(4)
! PBE-GGA BaZnP2Se8, optimized geometry; values from VASP
&SYSTEM
  ibrav = 0, nat = 12, ntyp = 4
/
ATOMIC_SPECIES
Ba 137.33 Ba.upf
Zn 65.41 Zn.upf
P 30.97 P.upf
Se 78.96 Se.upf
CELL_PARAMETERS angstrom
6.058 0.000 0.000
-3.029 5.247 0.000
0.000 0.000 9.677
ATOMIC_POSITIONS angstrom
Ba 0.000 0.000 0.000
Zn 0.000 0.000 4.839
P 0.000 3.498 7.266
P 3.029 1.749 2.412
Se -1.879 3.602 3.086
Se 0.850 1.818 3.086
Se 0.000 3.498 9.458
Se 1.999 0.173 6.591
Se 1.030 5.073 3.086
Se 3.029 1.749 0.219
Se 2.179 3.428 6.591
Se 4.908 1.645 6.591
! ΔE_f (raw): -381 meV/atom
! SG: No. 147
! total energy: -3.872 eV per atom
! total magnetization: 0.001 μB per cell